{"formula": "SbTeHW2", "functional": "GGA-PBE", "state": "optimized geometry", "space_group": "P4/mmm, No. 123", "total_energy_ev_per_atom": -4.55, "dos_at_fermi_per_ev_cell": 6.384, "crystal_system": "tetragonal", "cell": [[5.237, 0.000, 0.000], [0.000, 5.918, 0.000], [0.000, 0.000, 5.237]], "species": ["Sb", "Te", "W", "W", "H"], "frac_coords": [[0.000, 0.000, 0.000], [0.000, 0.500, 0.000], [0.000, 0.000, 0.500], [0.500, 0.000, 0.000], [0.500, 0.500, 0.500]]}